No. 1
# Ba2TiFeI

A geometry-optimized Ba2TiFeI structure (PBEsol, Alexandria).

Geometry as CIF:
```
data_Ba2TiFeI
_space_group_name_H-M_alt 'P 4/m m m'
_space_group_IT_number 123
_space_group_name_Hall '-P 4 2'
_cell_length_a 5.892
_cell_length_b 5.892
_cell_length_c 4.775
_cell_angle_alpha 90.00
_cell_angle_beta 90.00
_cell_angle_gamma 90.00
loop_
_atom_site_label
_atom_site_type_symbol
_atom_site_fract_x
_atom_site_fract_y
_atom_site_fract_z
Ba1 Ba 0.000 0.500 0.000
Ti1 Ti 0.000 0.000 0.500
Fe1 Fe 0.500 0.500 0.000
I1 I 0.500 0.500 0.500
```

Values from the calculation:
The total magnetic moment comes out at 4.5 μB per cell. The value obtained for the raw formation energy is 0.6885 eV per atom.

No. 2
# BaInFe2

A geometry-optimized BaInFe2 structure (PBEsol, Alexandria).

Geometry as CIF:
```
data_BaInFe2
_space_group_name_H-M_alt 'P 4 m m'
_space_group_IT_number 99
_cell_length_a 3.211
_cell_length_b 3.211
_cell_length_c 7.896
_cell_angle_alpha 90.00
_cell_angle_beta 90.00
_cell_angle_gamma 90.00
loop_
_space_group_symop_operation_xyz
'x,y,z'
'-y,x,z'
'-x,-y,z'
'y,-x,z'
'-x,y,z'
'y,x,z'
'x,-y,z'
'-y,-x,z'
loop_
_atom_site_label
_atom_site_type_symbol
_atom_site_fract_x
_atom_site_fract_y
_atom_site_fract_z
Ba1 Ba 0.000 0.000 0.000
In1 In 0.500 0.500 0.649
Fe1 Fe 0.000 0.000 0.429
Fe2 Fe 0.500 0.500 0.312
```

Values from the calculation:
The value obtained for the formation enthalpy at 0 K is 124 kJ/mol of formula units. The total magnetic moment comes out at 4.8 μB per cell.

No. 3
# BaInFe2

A geometry-optimized BaInFe2 structure (PBEsol, Alexandria).

Geometry as CIF:
```
data_BaInFe2
_space_group_name_H-M_alt 'A m m 2'
_space_group_IT_number 38
_cell_length_a 3.602
_cell_length_b 4.145
_cell_length_c 12.027
_cell_angle_alpha 90.00
_cell_angle_beta 90.00
_cell_angle_gamma 90.00
loop_
_space_group_symop_operation_xyz
'x,y,z'
'-x,-y,z'
'-x,y,z'
'x,-y,z'
'x,y+1/2,z+1/2'
'-x,-y+1/2,z+1/2'
'-x,y+1/2,z+1/2'
'x,-y+1/2,z+1/2'
loop_
_atom_site_label
_atom_site_type_symbol
_atom_site_fract_x
_atom_site_fract_y
_atom_site_fract_z
Ba1 Ba 0.000 0.000 0.000
In1 In 0.500 0.000 0.722
Fe1 Fe 0.000 0.000 0.256
Fe2 Fe 0.500 0.000 0.365
```

Values from the calculation:
The value obtained for the formation enthalpy at 0 K is 156 kJ/mol of formula units. The total magnetic moment comes out at 8.4 μB per cell.

No. 4
# BaInFe2

A geometry-optimized BaInFe2 structure (PBEsol, Alexandria).

Geometry as CIF:
```
data_BaInFe2
_space_group_name_H-M_alt 'P 1 2/m 1'
_space_group_IT_number 10
_cell_length_a 3.182
_cell_length_b 4.584
_cell_length_c 6.457
_cell_angle_alpha 90.00
_cell_angle_beta 96.72
_cell_angle_gamma 90.00
loop_
_space_group_symop_operation_xyz
'x,y,z'
'-x,-y,-z'
'-x,y,-z'
'x,-y,z'
loop_
_atom_site_label
_atom_site_type_symbol
_atom_site_fract_x
_atom_site_fract_y
_atom_site_fract_z
Ba1 Ba 0.000 0.000 0.000
In1 In 0.500 0.000 0.500
Fe1 Fe 0.263 0.500 0.631
```

Values from the calculation:
The value obtained for the formation enthalpy at 0 K is 211 kJ/mol of formula units. The total magnetic moment comes out at 5.0 μB per cell.

No. 5
# BaInFeSe2

A geometry-optimized BaInFeSe2 structure (PBEsol, Alexandria).

Geometry as CIF:
```
data_BaInFeSe2
_space_group_name_H-M_alt 'P 4/m m m'
_space_group_IT_number 123
_space_group_name_Hall '-P 4 2'
_cell_length_a 5.902
_cell_length_b 5.902
_cell_length_c 6.400
_cell_angle_alpha 90.00
_cell_angle_beta 90.00
_cell_angle_gamma 90.00
loop_
_atom_site_label
_atom_site_type_symbol
_atom_site_fract_x
_atom_site_fract_y
_atom_site_fract_z
Ba1 Ba 0.000 0.000 0.000
In1 In 0.000 0.000 0.500
Fe1 Fe 0.500 0.500 0.500
Se1 Se 0.000 0.500 0.000
```

Values from the calculation:
The total magnetic moment comes out at 4.9 μB per cell. The value obtained for the raw formation energy is 1.0608 eV per atom.

No. 6
# Ba2FeIr

A geometry-optimized Ba2FeIr structure (PBEsol, Alexandria).

Geometry as CIF:
```
data_Ba2FeIr
_space_group_name_H-M_alt 'P 4 m m'
_space_group_IT_number 99
_cell_length_a 3.490
_cell_length_b 3.490
_cell_length_c 9.329
_cell_angle_alpha 90.00
_cell_angle_beta 90.00
_cell_angle_gamma 90.00
loop_
_space_group_symop_operation_xyz
'x,y,z'
'-y,x,z'
'-x,-y,z'
'y,-x,z'
'-x,y,z'
'y,x,z'
'x,-y,z'
'-y,-x,z'
loop_
_atom_site_label
_atom_site_type_symbol
_atom_site_fract_x
_atom_site_fract_y
_atom_site_fract_z
Ba1 Ba 0.000 0.000 0.000
Ba2 Ba 0.500 0.500 0.425
Fe1 Fe 0.500 0.500 0.737
Ir1 Ir 0.000 0.000 0.683
```

Values from the calculation:
The value obtained for the formation enthalpy at 0 K is 138 kJ/mol of formula units. The total magnetic moment comes out at 3.2 μB per cell.

Density of states at the Fermi level / states/eV/cell: 8.0 3.4 6.3 3.8 6.9 5.1
Energy / eV/atom: -3.982 -5.443 -5.361 -5.219 -3.298 -5.415